[1]
Entry from Alexandria via LeMat-Bulk: TmBO after structural relaxation (PBE).

```
6
Lattice="1.718 0.992 7.393 -1.718 0.992 7.393 0.000 -1.983 7.393" Properties=species:S:1:pos:R:3 pbc="T T T"
Tm 0.000 0.000 2.086
Tm 0.000 0.000 20.093
B 0.000 0.000 7.421
B 0.000 0.000 14.759
O 0.000 0.000 4.563
O 0.000 0.000 17.616
```

## Properties
SG ... No. 166
Crystal system ... trigonal
Formation energy without anion corrections ... -1.951 eV/atom
Energy ... -7.3203 eV per atom

=====

[2]
Entry from Alexandria via LeMat-Bulk: TmBO3 after structural relaxation (PBE).

```
10
Lattice="8.323 0.000 0.000 0.000 3.198 2.199 0.000 -3.198 2.199" Properties=species:S:1:pos:R:3 pbc="T T T"
Tm 0.000 0.000 0.000
Tm 4.162 0.000 0.000
B 2.081 0.892 2.409
B 6.242 -0.892 2.409
O 0.844 1.111 1.812
O 2.081 0.496 3.727
O 3.318 1.111 1.812
O 5.005 -1.111 1.812
O 6.242 -0.496 3.727
O 7.479 -1.111 1.812
```

## Properties
SG ... No. 40
Crystal system ... orthorhombic
Formation energy without anion corrections ... -3.076 eV/atom
Energy ... -8.2804 eV per atom

=====

[3]
Entry from Alexandria via LeMat-Bulk: TmBO3 after structural relaxation (PBE).

```
30
Lattice="6.563 0.000 0.000 -3.281 5.683 0.000 0.000 0.000 8.683" Properties=species:S:1:pos:R:3 pbc="T T T"
Tm 0.000 0.000 0.000
Tm 0.000 0.000 4.341
Tm 0.000 3.789 0.000
Tm 0.000 3.789 4.341
Tm 3.281 1.894 0.000
Tm 3.281 1.894 4.341
B -1.313 2.274 2.171
B -1.969 3.410 6.512
B 2.625 0.000 2.171
B 1.313 2.274 6.512
B 3.937 0.000 6.512
B 1.969 3.410 2.171
O -1.026 1.777 0.892
O -1.026 1.777 3.449
O -1.295 2.243 6.512
O -1.986 3.441 2.171
O -2.255 3.906 5.234
O -2.255 3.906 7.790
O 2.052 0.000 0.892
O 2.052 0.000 3.449
O 1.026 1.777 5.234
O 1.026 1.777 7.790
O 2.590 0.000 6.512
O 1.295 2.243 2.171
O 3.973 0.000 2.171
O 1.986 3.441 6.512
O 4.511 0.000 5.234
O 4.511 0.000 7.790
O 2.255 3.906 0.892
O 2.255 3.906 3.449
```

## Properties
SG ... No. 193
Crystal system ... hexagonal
Formation energy without anion corrections ... -2.783 eV/atom
Energy ... -7.9879 eV per atom

=====

[4]
Entry from Alexandria via LeMat-Bulk: UB2O6 after structural relaxation (PBE).

```
18
Lattice="6.337 -2.113 0.000 6.337 2.113 0.000 -5.647 0.000 9.310" Properties=species:S:1:pos:R:3 pbc="T T T"
U 2.102 1.120 6.982
U 4.926 -1.120 2.327
B -1.711 0.749 6.966
B 1.112 -0.749 2.311
B 5.916 0.749 6.999
B 8.739 -0.749 2.344
O 1.220 0.641 2.272
O 2.078 1.145 5.184
O 3.658 0.908 2.319
O 2.127 1.145 8.781
O -1.603 -0.641 6.927
O 6.193 0.908 2.335
O 0.835 -0.908 6.974
O 8.631 0.641 2.383
O 4.901 -1.145 0.529
O 3.370 -0.908 6.990
O 4.950 -1.145 4.126
O 5.808 -0.641 7.038
```

## Properties
SG ... No. 15
Crystal system ... monoclinic
Formation energy without anion corrections ... -2.686 eV/atom
Energy ... -8.7298 eV per atom

=====

[5]
Entry from Alexandria via LeMat-Bulk: UBO2 after structural relaxation (PBE).

```
12
Lattice="2.665 0.000 0.000 -1.333 2.308 0.000 0.000 0.000 19.656" Properties=species:S:1:pos:R:3 pbc="T T T"
U 0.000 0.000 0.000
U 0.000 1.539 13.104
U 1.333 0.769 6.552
B 0.000 0.000 9.828
B 0.000 1.539 3.276
B 1.333 0.769 16.380
O 0.000 0.000 2.407
O 0.000 0.000 17.249
O 0.000 1.539 10.697
O 0.000 1.539 15.511
O 1.333 0.769 4.145
O 1.333 0.769 8.959
```

## Properties
SG ... No. 166
Crystal system ... trigonal
Formation energy without anion corrections ... -0.876 eV/atom
Energy ... -7.8465 eV per atom

=====

[6]
Entry from Alexandria via LeMat-Bulk: UBO3 after structural relaxation (PBE).

```
5
Lattice="3.589 0.000 0.000 0.000 3.589 0.000 0.000 0.000 3.589" Properties=species:S:1:pos:R:3 pbc="T T T"
U 0.000 0.000 0.000
B 1.794 1.794 1.794
O 0.000 1.794 1.794
O 1.794 0.000 1.794
O 1.794 1.794 0.000
```

## Properties
SG ... No. 221
Crystal system ... cubic
Formation energy without anion corrections ... -1.790 eV/atom
Energy ... -8.3578 eV per atom

=====

[7]
Entry from Alexandria via LeMat-Bulk: YUB2O8 after structural relaxation (PBE).

```
12
Lattice="-2.324 2.324 5.504 2.324 -2.324 5.504 2.324 2.324 -5.504" Properties=species:S:1:pos:R:3 pbc="T T T"
Y 0.000 0.000 0.000
U 2.324 0.000 2.752
B 0.000 0.000 5.504
B 0.000 2.324 2.752
O 1.119 -0.557 4.692
O 1.767 1.205 0.813
O -0.656 1.188 2.034
O 1.205 2.881 -0.813
O 1.136 1.667 3.470
O 0.557 1.119 6.317
O 0.656 3.459 2.034
O -1.136 2.980 3.470
```

## Properties
SG ... No. 82
Crystal system ... tetragonal
Formation energy without anion corrections ... -2.552 eV/atom
Energy ... -8.4498 eV per atom